Material: Fe3C4
Method: DFT, PBE-GGA
State: optimized geometry

Results
SG	Pm-3m, No. 221
excess energy over the best structure of this formula in the dataset	1.77	eV per formula unit
formation energy from the elements	1.077	eV per atom

Geometry as POSCAR:
```
Fe3C4
1.0
3.946 0.000 0.000
0.000 3.946 0.000
0.000 0.000 3.946
Fe C
3 4
Cartesian
0.000 0.000 1.973
0.000 1.973 0.000
1.973 0.000 0.000
0.000 0.000 0.000
0.000 1.973 1.973
1.973 0.000 1.973
1.973 1.973 0.000
```

Material: FeC3
Method: DFT, PBE-GGA
State: optimized geometry

Results
SG	Pmmm, No. 47
excess energy over the best structure of this formula in the dataset	2.01	eV per formula unit
formation energy from the elements	1.074	eV per atom

Geometry as POSCAR:
```
FeC3
1.0
2.539 0.000 0.000
0.000 2.874 0.000
0.000 0.000 8.089
Fe C
1 3
Cartesian
0.000 0.000 0.000
0.000 0.000 4.044
1.269 0.000 4.044
1.269 1.437 0.000
```

Material: Fe2C
Method: DFT, PBE-GGA
State: optimized geometry

Results
SG	P-31m, No. 162
formation energy from the elements	0.074	eV per atom

Geometry as POSCAR:
```
Fe2C
1.0
4.798 0.000 0.000
-2.399 4.155 0.000
0.000 0.000 4.296
Fe C
6 3
Cartesian
-0.806 1.396 1.074
-1.593 2.759 3.222
1.612 0.000 1.074
0.806 1.396 3.222
3.186 0.000 3.222
1.593 2.759 1.074
0.000 0.000 0.000
0.000 2.770 2.148
2.399 1.385 2.148
```

Material: Fe5C
Method: DFT, PBE-GGA
State: optimized geometry

Results
SG	F-43m, No. 216
excess energy over the best structure of this formula in the dataset	5.61	eV per formula unit
formation energy from the elements	1.105	eV per atom

Geometry as POSCAR:
```
Fe5C
1.0
0.000 3.264 3.264
3.264 0.000 3.264
3.264 3.264 0.000
Fe C
5 1
Cartesian
0.000 0.000 0.000
4.078 2.450 2.450
2.450 4.078 2.450
2.450 2.450 4.078
4.078 4.078 4.078
1.632 1.632 1.632
```

Material: FeC3
Method: DFT, PBE-GGA
State: optimized geometry

Results
SG	Cm, No. 8
excess energy over the best structure of this formula in the dataset	0.13	eV per formula unit
formation energy from the elements	0.604	eV per atom

Geometry as POSCAR:
```
FeC3
1.0
2.223 -1.257 0.000
2.223 1.257 0.000
-1.920 0.000 5.056
Fe C
1 3
Cartesian
0.000 0.000 0.000
-0.495 0.000 2.352
-0.472 0.000 3.874
2.482 0.000 1.853
```

Material: Fe2C
Method: DFT, PBE-GGA
State: optimized geometry

Results
SG	I4/mcm, No. 140
formation energy from the elements	0.341	eV per atom

Geometry as POSCAR:
```
Fe2C
1.0
-2.409 2.409 2.280
2.409 -2.409 2.280
2.409 2.409 -2.280
Fe C
4 2
Cartesian
3.272 0.863 0.000
0.863 1.545 0.000
1.545 0.863 2.280
-0.863 1.545 2.280
0.000 0.000 1.140
0.000 0.000 3.420
```